# Na2TbWO6 | the Alexandria database | PBE+U | relaxed
# V ... 13.685 Å³/atom
# Total moment ... 0.11 μB per atom
# DOS(E_F) ... 13.40 states/eV per cell
# Crystal system ... monoclinic
# Electronic total energy ... -6.636 eV per atom
data_Na2TbWO6
_space_group_name_H-M_alt 'P 1 21/c 1'
_space_group_IT_number 14
_cell_length_a 5.7166
_cell_length_b 5.8554
_cell_length_c 9.9732
_cell_angle_alpha 90.00
_cell_angle_beta 124.93
_cell_angle_gamma 90.00
loop_
_space_group_symop_operation_xyz
'x,y,z'
'-x,-y,-z'
'-x,y+1/2,-z+1/2'
'x,-y+1/2,z+1/2'
loop_
_atom_site_label
_atom_site_type_symbol
_atom_site_fract_x
_atom_site_fract_y
_atom_site_fract_z
Na1 Na 0.2449 0.0319 0.2526
Tb1 Tb 0.5000 0.0000 0.0000
W1 W 0.0000 0.0000 0.5000
O1 O 0.1361 0.2280 0.9512
O2 O 0.2320 0.6890 0.9585
O3 O 0.3165 0.0277 0.7297